Entry 1:
CdFeHg | GGA-PBE | optimized geometry

a b c (Å): 3.0109 3.0109 7.1614
angles (deg): 90.00 90.00 120.00
With the nearest neighbours (Å) after each atom.
Positions (direct):
Cd (0.0000, 0.0000, 0.0000)  3 Fe 2.82, 6 Cd 3.01
Fe (0.6667, 0.3333, 0.3099)  3 Cd 2.82, 3 Hg 2.82, 6 Fe 3.01
Hg (0.3333, 0.6667, 0.6199)  3 Fe 2.82, 6 Hg 3.01

## Properties
- Space group: P3m1, No. 156
- ΔH_f (0 K): 1.146 eV/f.u.
- Energy above the most stable polymorph in this dataset: 53 meV/atom

=====

Entry 2:
La2CdFeHg | GGA-PBE | optimized geometry

a b c (Å): 5.1162 5.1162 5.1626
angles (deg): 90.00 90.00 90.00
With the nearest neighbours (Å) after each atom.
Positions (direct):
La (0.0000, 0.5000, 0.0000)  2 Fe 2.56
La (0.5000, 0.0000, 0.0000)  2 Fe 2.56
Cd (0.0000, 0.0000, 0.5000)  2 Fe 2.58
Fe (0.0000, 0.0000, 0.0000)  4 La 2.56, 2 Cd 2.58
Hg (0.5000, 0.5000, 0.5000)  4 Cd 3.62, 8 La 3.63

## Properties
- Space group: P4/mmm, No. 123
- ΔH_f (0 K): -0.835 eV/f.u.

=====

M_tot across the listed records, respectively: 2.67, 0.00 μB per formula unit.
D(E_F) across the listed records, respectively: 2.52, 4.47 states/eV/f.u..
Uncorrected energy across the listed records, respectively: -2.845, -4.074 eV per atom.